# 1
{"formula": "Tl2ZnInF6", "functional": "PBE-GGA", "state": "relaxed", "lattice_angstrom": [[5.179, -2.993, 0.000], [5.179, 2.993, 0.000], [-3.450, 0.000, 4.887]], "species": ["Tl", "Tl", "Zn", "In", "F", "F", "F", "F", "F", "F"], "frac_coords": [[0.250, 0.250, 0.250], [0.750, 0.750, 0.750], [0.000, 0.000, 0.500], [0.500, 0.500, 0.000], [0.239, 0.239, 0.739], [0.239, 0.760, 0.261], [0.240, 0.761, 0.739], [0.760, 0.239, 0.261], [0.761, 0.240, 0.739], [0.761, 0.761, 0.261]], "polymorph_energy_ev_per_atom": 0.0286, "crystal_system": "monoclinic", "total_energy_ev_per_atom": -3.97}

# 2
{"formula": "Tl2ZnInF6", "functional": "PBE-GGA", "state": "relaxed", "lattice_angstrom": [[6.042, 0.000, 0.000], [0.000, 6.030, 0.000], [-6.043, 0.000, 8.544]], "species": ["Tl", "Tl", "Tl", "Tl", "Zn", "Zn", "In", "In", "F", "F", "F", "F", "F", "F", "F", "F", "F", "F", "F", "F"], "frac_coords": [[0.249, 0.004, 0.250], [0.249, 0.496, 0.750], [0.751, 0.504, 0.250], [0.751, 0.996, 0.750], [0.000, 0.000, 0.500], [0.000, 0.500, 0.000], [0.500, 0.000, 0.000], [0.500, 0.500, 0.500], [0.216, 0.250, 0.490], [0.216, 0.250, 0.990], [0.240, 0.726, 0.991], [0.240, 0.774, 0.491], [0.258, 0.000, 0.738], [0.258, 0.500, 0.238], [0.742, 0.000, 0.262], [0.742, 0.500, 0.762], [0.760, 0.226, 0.509], [0.760, 0.274, 0.009], [0.784, 0.750, 0.010], [0.784, 0.750, 0.510]], "polymorph_energy_ev_per_atom": 0.0098, "crystal_system": "monoclinic", "total_energy_ev_per_atom": -3.99}

# 3
{"formula": "Tl2ZnInF6", "functional": "PBE-GGA", "state": "relaxed", "lattice_angstrom": [[5.981, 0.000, 0.000], [-0.003, 5.983, 0.000], [0.000, -0.002, 8.468]], "species": ["Tl", "Tl", "Tl", "Tl", "Zn", "Zn", "In", "In", "F", "F", "F", "F", "F", "F", "F", "F", "F", "F", "F", "F"], "frac_coords": [[0.000, 0.000, 0.250], [0.000, 0.000, 0.750], [0.500, 0.500, 0.250], [0.500, 0.500, 0.750], [0.000, 0.500, 0.000], [0.500, 0.000, 0.500], [0.000, 0.500, 0.500], [0.500, 0.000, 0.000], [0.001, 0.500, 0.239], [0.234, 0.743, 0.999], [0.243, 0.264, 0.000], [0.259, 0.237, 0.500], [0.263, 0.758, 0.501], [0.499, 0.000, 0.261], [0.501, 0.000, 0.739], [0.737, 0.242, 0.499], [0.741, 0.763, 0.500], [0.757, 0.736, 0.000], [0.766, 0.257, 0.001], [0.999, 0.500, 0.761]], "polymorph_energy_ev_per_atom": 0.0289, "crystal_system": "triclinic", "total_energy_ev_per_atom": -3.97}